Record 1
Compound: CeYGe
Source: Alexandria
Functional: PBE
Structure: relaxed

Summary:
**Crystal system**: hexagonal
**Calculated formation energy**: -55.2 kJ/mol of atoms

Cell: 5.226 5.226 6.197 Å, 90.00 90.00 120.00°
Fractional positions:
Ce: 0.000 0.000 0.000
Ce: 0.000 0.000 0.500
Y: 0.333 0.667 0.250
Y: 0.667 0.333 0.750
Ge: 0.333 0.667 0.750
Ge: 0.667 0.333 0.250

***

Record 2
Compound: Sr2EuIn
Source: Alexandria
Functional: PBE
Structure: relaxed

Summary:
**Crystal system**: tetragonal
**Calculated formation energy**: -18.3 kJ/mol of atoms

Cell: 3.996 3.996 10.512 Å, 90.00 90.00 90.00°
Fractional positions:
Sr: 0.000 0.000 0.198
Sr: 0.000 0.000 0.802
Eu: 0.500 0.500 0.500
In: 0.500 0.500 0.000

***

Record 3
Compound: ZrMn2Br
Source: Alexandria
Functional: PBE
Structure: relaxed

Summary:
**Crystal system**: monoclinic
**Raw formation energy**: 382 meV/atom

Cell: 5.726 5.726 3.131 Å, 105.35 105.35 121.01°
Fractional positions:
Zr: 0.000 0.000 0.000
Mn: 0.000 0.500 0.500
Mn: 0.500 0.000 0.500
Br: 0.500 0.500 0.000

***

Record 4
Compound: EuCuSeO
Source: Alexandria
Functional: PBE
Structure: relaxed

Summary:
**Crystal system**: tetragonal
**Raw formation energy**: -1616 meV/atom

Cell: 4.020 4.020 9.017 Å, 90.00 90.00 90.00°
Fractional positions:
Eu: 0.250 0.250 0.125
Eu: 0.750 0.750 0.875
Cu: 0.250 0.750 0.500
Cu: 0.750 0.250 0.500
Se: 0.250 0.250 0.664
Se: 0.750 0.750 0.336
O: 0.250 0.750 0.000
O: 0.750 0.250 0.000

***

Record 5
Compound: CePrPBr
Source: Alexandria
Functional: PBE
Structure: relaxed

Summary:
**Crystal system**: trigonal
**Raw formation energy**: -1431 meV/atom

Cell: 7.940 7.940 7.940 Å, 29.79 29.79 29.79°
Fractional positions:
Ce: 0.000 0.000 0.000
Pr: 0.195 0.195 0.195
P: 0.600 0.600 0.600
Br: 0.429 0.429 0.429

***

Record 6
Compound: YPdAu2Cl
Source: Alexandria
Functional: PBE
Structure: relaxed

Summary:
**Crystal system**: tetragonal
**Raw formation energy**: 493 meV/atom

Cell: 5.438 5.438 5.307 Å, 90.00 90.00 90.00°
Fractional positions:
Y: 0.000 0.000 0.000
Pd: 0.000 0.000 0.500
Au: 0.000 0.500 0.000
Au: 0.500 0.000 0.000
Cl: 0.500 0.500 0.500

***

no.,spin magnetization (μB per atom)
1,0.389
2,2.050
3,1.648
4,1.554
5,0.250
6,0.000